## VCrSiAu2 (PBE)

Data for VCrSiAu2 after structural relaxation.

```
VCrSiAu2
1.0
4.6607 0.0000 0.0000
0.0000 4.6607 0.0000
0.0000 0.0000 4.5038
V Cr Si Au
1 1 1 2
Cartesian
0.0000 0.0000 0.0000 V
2.3303 2.3303 0.0000 Cr
0.0000 0.0000 2.2519 Si
0.0000 2.3303 2.2519 Au
2.3303 0.0000 2.2519 Au
```

## Properties
For the total energy, the calculation gives -5.458 eV/atom. The value obtained for the total magnetization is 4.9 μB per formula unit. As for the space group: P4/mmm, No. 123.

## Cr2SiWAu (PBE)

Data for Cr2SiWAu after structural relaxation.

```
Cr2SiWAu
1.0
4.9217 0.0000 0.0000
0.0000 4.9217 0.0000
0.0000 0.0000 4.4568
Cr Si W Au
2 1 1 1
Cartesian
0.0000 2.4608 0.0000 Cr
2.4608 0.0000 0.0000 Cr
0.0000 0.0000 2.2284 Si
2.4608 2.4608 2.2284 W
0.0000 0.0000 0.0000 Au
```

## Properties
For the total energy, the calculation gives -6.463 eV/atom. The value obtained for the total magnetization is 5.1 μB per formula unit. As for the space group: P4/mmm, No. 123.

## CrSnAu2 (PBE)

Data for CrSnAu2 after structural relaxation.

```
CrSnAu2
1.0
3.6134 0.0000 0.0000
0.0000 3.6134 0.0000
0.0000 0.0000 5.9015
Cr Sn Au
1 1 2
Cartesian
0.0000 0.0000 0.0000 Cr
0.0000 0.0000 2.9507 Sn
1.8067 1.8067 1.3878 Au
1.8067 1.8067 4.5137 Au
```

## Properties
The value obtained for the total magnetization is 3.9 μB per formula unit. As for the space group: P4/mmm, No. 123. The formation energy is 24 kJ/mol of formula units.

## Cr3SnAu (PBE)

Data for Cr3SnAu after structural relaxation.

```
Cr3SnAu
1.0
4.9940 0.0000 0.0000
0.0000 4.9940 0.0000
0.0000 0.0000 4.9940
Cr Sn Au
3 1 1
Cartesian
0.0000 0.0000 2.4970 Cr
0.0000 2.4970 0.0000 Cr
2.4970 0.0000 0.0000 Cr
2.4970 2.4970 2.4970 Sn
0.0000 0.0000 0.0000 Au
```

## Properties
The value obtained for the total magnetization is 12.6 μB per formula unit. As for the energy relative to the lowest polymorph listed for this composition: 0.000 eV/atom. As for the space group: Pm-3m, No. 221. The formation energy is 550 kJ/mol of formula units.

## CrSn2Au2 (PBE)

Data for CrSn2Au2 after structural relaxation.

```
CrSn2Au2
1.0
7.2226 0.0000 0.0000
0.0000 7.2226 0.0000
0.0000 0.0000 3.9395
Cr Sn Au
2 4 4
Cartesian
0.0000 0.0000 0.0000 Cr
3.6113 3.6113 0.0000 Cr
1.1673 2.4440 0.0000 Sn
2.4440 6.0553 0.0000 Sn
4.7787 1.1673 0.0000 Sn
6.0553 4.7787 0.0000 Sn
1.0474 4.6587 1.9698 Au
2.5639 1.0474 1.9698 Au
4.6587 6.1752 1.9698 Au
6.1752 2.5639 1.9698 Au
```

## Properties
The value obtained for the total magnetization is 0.0 μB per formula unit. As for the energy relative to the lowest polymorph listed for this composition: 0.186 eV/atom. As for the space group: P4/mbm, No. 127. The formation energy is 222 kJ/mol of formula units.

## Cr2Sn9Au (PBE)

Data for Cr2Sn9Au after structural relaxation.

```
Cr2Sn9Au
1.0
7.4215 0.0000 0.0000
0.0000 7.4215 0.0000
0.0000 0.0000 5.6045
Cr Sn Au
2 9 1
Cartesian
0.0000 0.0000 0.0000 Cr
0.0000 0.0000 2.8022 Cr
0.8944 2.5244 0.0000 Sn
1.0634 4.8490 2.8022 Sn
2.5244 6.5271 0.0000 Sn
2.5725 1.0634 2.8022 Sn
3.7108 3.7108 0.0000 Sn
4.8490 6.3581 2.8022 Sn
4.8971 0.8944 0.0000 Sn
6.3581 2.5725 2.8022 Sn
6.5271 4.8971 0.0000 Sn
3.7108 3.7108 2.8022 Au
```

## Properties
The value obtained for the total magnetization is 6.6 μB per formula unit. As for the space group: P4/m, No. 83. The formation energy is 310 kJ/mol of formula units.

Number 1: V 98 Å³/cell. Number 2: V 108 Å³/cell. Number 3: V 77 Å³/cell. Number 4: V 125 Å³/cell. Number 5: V 206 Å³/cell. Number 6: V 309 Å³/cell.